(1)
Below is crystalline LaDy2TlO at its relaxed geometry, with properties calculated at the PBE level.

Lattice parameters (Å, degrees): 4.830 4.830 5.055 90.00 90.00 90.00
Fractional positions:
La1 0.000 0.000 0.000
Dy1 0.000 0.500 0.500
Dy2 0.500 0.000 0.500
Tl1 0.500 0.500 0.000
O1 0.000 0.000 0.500

Results
SG: No. 123
M_tot: 0.00 Bohr magnetons per cell
Formation energy (no corrections): -30.875 kcal/mol of atoms



(2)
Below is crystalline DyMg11Pd at its relaxed geometry, with properties calculated at the PBE level.

Lattice parameters (Å, degrees): 7.738 7.738 7.649 97.27 97.27 137.37
Fractional positions:
Dy1 0.000 0.000 0.000
Mg1 0.000 0.000 0.500
Mg2 0.000 0.500 0.000
Mg3 0.019 0.356 0.360
Mg4 0.302 0.506 0.783
Mg5 0.356 0.019 0.360
Mg6 0.494 0.698 0.217
Mg7 0.500 0.000 0.000
Mg8 0.506 0.302 0.783
Mg9 0.644 0.981 0.640
Mg10 0.698 0.494 0.217
Mg11 0.981 0.644 0.640
Pd1 0.500 0.500 0.500

Results
SG: No. 12
ΔH_f (0 K): -176 kJ/mol of formula units
M_tot: 0.00 Bohr magnetons per cell



(3)
Below is crystalline PaSnBi3 at its relaxed geometry, with properties calculated at the PBE level.

Lattice parameters (Å, degrees): 6.299 3.280 14.953 90.00 90.00 90.00
Fractional positions:
Pa1 0.250 0.000 0.188
Pa2 0.750 0.000 0.812
Sn1 0.250 0.500 0.802
Sn2 0.750 0.500 0.198
Bi1 0.000 0.000 0.000
Bi2 0.003 0.000 0.612
Bi3 0.497 0.000 0.612
Bi4 0.500 0.000 0.000
Bi5 0.503 0.000 0.388
Bi6 0.997 0.000 0.388

Results
SG: No. 51
ΔH_f (0 K): 58 kJ/mol of formula units
M_tot: 2.29 Bohr magnetons per cell